A plane-wave DFT calculation with GGA-PBE was carried out for a relaxed AlGe3Te crystal.

Results
Space group: No. 221
ΔE to the lowest computed polymorph (meV per atom): 0.0
Electronic total energy (eV per atom): -3.679

a = 4.959 Å, b = 4.959 Å, c = 4.959 Å
α = 90.00°, β = 90.00°, γ = 90.00°
Positions (direct):
Al (0.000, 0.000, 0.000)
Ge (0.000, 0.000, 0.500)
Ge (0.000, 0.500, 0.000)
Ge (0.500, 0.000, 0.000)
Te (0.500, 0.500, 0.500)